First-principles (PBE+U) data for an optimized crystal structure of MnS2ClF, as listed in Alexandria.

## Properties
total energy	-3.70	eV/atom
relative energy among the computed polymorphs	0.0	meV per atom
density of states at the Fermi level	0.499	states/eV per atom

Unit cell a=4.1298 b=4.1298 c=5.5597 alpha=90.00 beta=90.00 gamma=90.00
Space group P4/mmm (No. 123)
Asymmetric unit:
Mn1 0.0000 0.0000 0.0000
S1 0.0000 0.5000 0.5000
Cl1 0.5000 0.5000 0.0000
F1 0.5000 0.5000 0.5000